LiMnF2: relaxed, GGA+U.

Cell and atoms, written as extended XYZ:
```
4
Lattice="1.532 0.884 6.092 -1.532 0.884 6.092 0.000 -1.769 6.092" Properties=species:S:1:pos:R:3 pbc="T T T"
Li 0.000 0.000 0.000
Mn 0.000 0.000 9.138
F 0.000 0.000 7.173
F 0.000 0.000 11.103
```

Results
* calculated total energy: -21.677 eV/cell
* calculated volume: 50 Å³ per cell
* symmetry: R-3m (166)